No. 1
# TbHoPbN

A geometry-optimized TbHoPbN structure (PBE, the Open Quantum Materials Database).

E_tot, eV per atom: -6.409
Density, g/cm3: 10.63
Space-group type: P-6m2 (187)

Structure (POSCAR):
```
TbHoPbN
1.0
3.5499 0.0000 0.0000
-1.7749 3.0743 0.0000
0.0000 0.0000 15.6045
Tb Ho Pb N
2 2 2 2
Cartesian
0.0000 0.0000 2.6026
0.0000 0.0000 13.0019
0.0000 2.0495 5.2048
0.0000 2.0495 10.3997
0.0000 0.0000 7.8023
0.0000 2.0495 0.0000
1.7749 1.0248 3.9460
1.7749 1.0248 11.6585
```

***

No. 2
# GdHIBr

A geometry-optimized GdHIBr structure (PBE, the Open Quantum Materials Database).

E_tot, eV per atom: -4.175
Density, g/cm3: 5.82
Space-group type: P6_3mc (186)

Structure (POSCAR):
```
GdHIBr
1.0
3.9576 0.0000 0.0000
-1.9788 3.4274 0.0000
0.0000 0.0000 15.3490
Gd H I Br
2 2 2 2
Cartesian
0.0000 0.0000 0.0000
0.0000 0.0000 7.6745
0.0000 2.2849 7.6277
1.9788 1.1425 15.3022
0.0000 2.2849 13.1965
1.9788 1.1425 5.5220
0.0000 2.2849 1.8924
1.9788 1.1425 9.5669
```

***

Number 1: M_tot 0.01 Bohr magnetons per cell. Number 2: M_tot 0.00 Bohr magnetons per cell.